(1)
## Pm2Se2N (PBE-GGA)

Data for a relaxed structure of Pm2Se2N.

Geometry as CIF:
```
data_Pm2Se2N
_cell_length_a 4.0331
_cell_length_b 4.0331
_cell_length_c 15.1683
_cell_angle_alpha 90.00
_cell_angle_beta 90.00
_cell_angle_gamma 90.00
_space_group_name_H-M_alt 'P 1'
_space_group_IT_number 1
_space_group_name_Hall 'P 1'
loop_
_atom_site_label
_atom_site_type_symbol
_atom_site_fract_x
_atom_site_fract_y
_atom_site_fract_z
_atom_site_occupancy
Pm1 Pm 0.2500 0.2500 0.0852 1
Pm2 Pm 0.2500 0.2500 0.6280 1
Pm3 Pm 0.7500 0.7500 0.3720 1
Pm4 Pm 0.7500 0.7500 0.9148 1
Se1 Se 0.2500 0.2500 0.4140 1
Se2 Se 0.2500 0.2500 0.8071 1
Se3 Se 0.7500 0.7500 0.1929 1
Se4 Se 0.7500 0.7500 0.5860 1
N1 N 0.2500 0.7500 0.0000 1
N2 N 0.7500 0.2500 0.0000 1
```

SG: P4/nmm


(2)
## Hf2AlInCu2 (PBE-GGA)

Data for a relaxed structure of Hf2AlInCu2.

Geometry as CIF:
```
data_Hf2AlInCu2
_cell_length_a 10.5425
_cell_length_b 4.3021
_cell_length_c 10.5508
_cell_angle_alpha 90.00
_cell_angle_beta 109.49
_cell_angle_gamma 90.00
_space_group_name_H-M_alt 'P 1'
_space_group_IT_number 1
_space_group_name_Hall 'P 1'
loop_
_atom_site_label
_atom_site_type_symbol
_atom_site_fract_x
_atom_site_fract_y
_atom_site_fract_z
_atom_site_occupancy
Hf1 Hf 0.0000 0.0000 0.0000 1
Hf2 Hf 0.1206 0.5000 0.3746 1
Hf3 Hf 0.2433 0.0000 0.7448 1
Hf4 Hf 0.3752 0.5000 0.1319 1
Hf5 Hf 0.5006 0.0000 0.4994 1
Hf6 Hf 0.6255 0.5000 0.8698 1
Hf7 Hf 0.7480 0.0000 0.2552 1
Hf8 Hf 0.8706 0.5000 0.6222 1
Al1 Al 0.2484 0.0000 0.2515 1
Al2 Al 0.6237 0.5000 0.3764 1
Al3 Al 0.7491 0.0000 0.7483 1
Al4 Al 0.9964 0.0000 0.4991 1
In1 In 0.1227 0.5000 0.8749 1
In2 In 0.3726 0.5000 0.6227 1
In3 In 0.4987 0.0000 0.0005 1
In4 In 0.8724 0.5000 0.1252 1
Cu1 Cu 0.1296 0.5000 0.1317 1
Cu2 Cu 0.2415 0.0000 0.4922 1
Cu3 Cu 0.3729 0.5000 0.8748 1
Cu4 Cu 0.4992 0.0000 0.2570 1
Cu5 Cu 0.6281 0.5000 0.6228 1
Cu6 Cu 0.7489 0.0000 0.9932 1
Cu7 Cu 0.8719 0.5000 0.3798 1
Cu8 Cu 0.9907 0.0000 0.7429 1
```

SG: Pm


(3)
## BaGa2Ag2 (PBE-GGA)

Data for a relaxed structure of BaGa2Ag2.

Geometry as CIF:
```
data_BaGa2Ag2
_cell_length_a 4.6516
_cell_length_b 4.6516
_cell_length_c 11.4106
_cell_angle_alpha 90.00
_cell_angle_beta 90.00
_cell_angle_gamma 90.00
_space_group_name_H-M_alt 'P 1'
_space_group_IT_number 1
_space_group_name_Hall 'P 1'
loop_
_atom_site_label
_atom_site_type_symbol
_atom_site_fract_x
_atom_site_fract_y
_atom_site_fract_z
_atom_site_occupancy
Ba1 Ba 0.0000 0.0000 0.0000 1
Ba2 Ba 0.5000 0.5000 0.5000 1
Ga1 Ga 0.0000 0.5000 0.2500 1
Ga2 Ga 0.0000 0.5000 0.7500 1
Ga3 Ga 0.5000 0.0000 0.2500 1
Ga4 Ga 0.5000 0.0000 0.7500 1
Ag1 Ag 0.0000 0.0000 0.3705 1
Ag2 Ag 0.0000 0.0000 0.6295 1
Ag3 Ag 0.5000 0.5000 0.1295 1
Ag4 Ag 0.5000 0.5000 0.8705 1
```

SG: I4/mmm


no.,E (eV/f.u.)
1,-31.6
2,-34.9
3,-15.0